This record from Alexandria describes an optimized crystal structure of Os2PbBr. The functional is PBE-GGA.

Lattice parameters (Å, degrees): 4.6668 4.6668 5.6789 77.79 77.79 38.17
Closest atoms and distances in Å follow each position.
Fractional coordinates of all 4 atoms:
1 Os 0.4997 0.4997 0.4475  3 Br 2.69-2.71, 2 Os 2.71, 2 Pb 2.90
2 Os 0.0003 0.0003 0.0525  3 Br 2.69-2.71, 2 Os 2.71, 2 Pb 2.90
3 Pb 0.7500 0.7500 0.7500  6 Os 2.90-3.09, 2 Pb 3.05, 4 Br 3.22
4 Br 0.2500 0.2500 0.2500  6 Os 2.69-2.71

Computed properties:
- symmetry = C2/m (12)
- formation energy from raw total energies (eV per formula unit) = 5.017